# 1
The following is a DFT calculation (PBE-GGA) of a relaxed structure of AsBr2F.

Output
Formation energy from raw total energies = -0.99 eV/atom
Space-group type = P2_1/c (14)
Energy above the lowest structure with this stoichiometry = 0.0000 eV/atom

abc: 7.611 6.554 13.847
angles: 90.00 123.19 90.00
Sites, in units of the cell vectors:
As 0.158 0.067 0.403
As 0.158 0.433 0.903
As 0.842 0.567 0.097
As 0.842 0.933 0.597
Br 0.191 0.244 0.562
Br 0.191 0.256 0.062
Br 0.423 0.238 0.392
Br 0.423 0.262 0.892
Br 0.577 0.738 0.108
Br 0.577 0.762 0.608
Br 0.809 0.744 0.938
Br 0.809 0.756 0.438
F 0.056 0.713 0.209
F 0.056 0.787 0.709
F 0.944 0.213 0.291
F 0.944 0.287 0.791

=====

# 2
The following is a DFT calculation (PBE-GGA) of a relaxed structure of MgVPdAu.

Output
Space-group type = F-43m (216)
Formation energy from the elements = -240 meV per atom

abc: 6.411 6.411 6.411
angles: 90.00 90.00 90.00
Sites, in units of the cell vectors:
Mg 0.000 0.000 0.000
Mg 0.000 0.500 0.500
Mg 0.500 0.000 0.500
Mg 0.500 0.500 0.000
V 0.000 0.000 0.500
V 0.000 0.500 0.000
V 0.500 0.000 0.000
V 0.500 0.500 0.500
Pd 0.250 0.250 0.250
Pd 0.250 0.750 0.750
Pd 0.750 0.250 0.750
Pd 0.750 0.750 0.250
Au 0.250 0.250 0.750
Au 0.250 0.750 0.250
Au 0.750 0.250 0.250
Au 0.750 0.750 0.750